Record 1
Computed, not measured: a geometry-optimized AgPt structure at the PBE level of DFT.

a = 7.974 Å, b = 7.974 Å, c = 4.102 Å
α = 90.00°, β = 90.00°, γ = 120.00°
Sites, in units of the cell vectors:
Ag1 0.846 0.693 0.250
Ag2 0.154 0.846 0.750
Ag3 0.307 0.154 0.250
Ag4 0.154 0.307 0.750
Ag5 0.846 0.154 0.250
Ag6 0.693 0.846 0.750
Pt1 0.443 0.886 0.250
Pt2 0.557 0.443 0.750
Pt3 0.114 0.557 0.250
Pt4 0.557 0.114 0.750
Pt5 0.443 0.557 0.250
Pt6 0.886 0.443 0.750

---

Record 2
Computed, not measured: a geometry-optimized AgPt structure at the PBE level of DFT.

a = 9.556 Å, b = 9.556 Å, c = 2.831 Å
α = 90.00°, β = 90.00°, γ = 129.53°
Sites, in units of the cell vectors:
Ag1 0.005 0.995 0.000
Ag2 0.672 0.839 0.500
Ag3 0.329 0.671 0.000
Ag4 0.498 0.502 0.000
Ag5 0.161 0.328 0.500
Ag6 0.168 0.832 0.000
Pt1 0.987 0.489 0.500
Pt2 0.665 0.335 0.000
Pt3 0.345 0.172 0.500
Pt4 0.831 0.169 0.000
Pt5 0.511 0.013 0.500
Pt6 0.828 0.655 0.500

---

Record 3
Computed, not measured: a geometry-optimized AgPt structure at the PBE level of DFT.

a = 2.792 Å, b = 2.792 Å, c = 4.262 Å
α = 90.00°, β = 90.00°, γ = 90.00°
Sites, in units of the cell vectors:
Ag1 0.000 0.000 0.000
Pt1 0.500 0.500 0.500

---

Record 4
Computed, not measured: a geometry-optimized AgPt4 structure at the PBE level of DFT.

Values from the calculation:
Excess energy over the best structure of this formula in the dataset, eV/atom: 0.070

a = 2.806 Å, b = 7.486 Å, c = 4.025 Å
α = 74.41°, β = 90.00°, γ = 79.20°
Sites, in units of the cell vectors:
Ag1 0.000 0.000 0.000
Pt1 0.398 0.204 0.398
Pt2 0.799 0.403 0.799
Pt3 0.201 0.597 0.201
Pt4 0.602 0.796 0.602

---

Record 5
Computed, not measured: a geometry-optimized AgPt structure at the PBE level of DFT.

a = 7.960 Å, b = 4.140 Å, c = 10.098 Å
α = 90.00°, β = 168.47°, γ = 90.00°
Sites, in units of the cell vectors:
Ag1 0.992 0.000 0.994
Ag2 0.758 0.500 0.006
Pt1 0.289 0.500 0.026
Pt2 0.461 0.000 0.974

---

Record 6
Computed, not measured: a geometry-optimized Ag4Pt5 structure at the PBE level of DFT.

Values from the calculation:
Excess energy over the best structure of this formula in the dataset, eV/atom: 0.006

a = 4.906 Å, b = 4.906 Å, c = 8.614 Å
α = 74.11°, β = 74.11°, γ = 48.51°
Sites, in units of the cell vectors:
Ag1 0.002 0.002 0.001
Ag2 0.666 0.666 0.109
Ag3 0.331 0.331 0.222
Ag4 0.664 0.664 0.443
Pt1 0.992 0.992 0.344
Pt2 0.334 0.334 0.559
Pt3 0.001 0.001 0.670
Pt4 0.672 0.672 0.773
Pt5 0.338 0.338 0.879

---

Record 7
Computed, not measured: a geometry-optimized Ag5Pt7 structure at the PBE level of DFT.

Values from the calculation:
Excess energy over the best structure of this formula in the dataset, eV/atom: 0.047

a = 4.034 Å, b = 6.363 Å, c = 8.074 Å
α = 71.71°, β = 90.00°, γ = 90.00°
Sites, in units of the cell vectors:
Ag1 0.000 0.000 0.000
Ag2 0.500 0.667 0.083
Ag3 0.000 0.333 0.167
Ag4 0.000 0.670 0.333
Ag5 0.000 0.663 0.833
Pt1 0.500 0.008 0.256
Pt2 0.500 0.330 0.425
Pt3 0.000 0.001 0.502
Pt4 0.500 0.667 0.583
Pt5 0.000 0.333 0.665
Pt6 0.500 0.003 0.742
Pt7 0.500 0.325 0.911

---

Record 8
Computed, not measured: a geometry-optimized Ag5Pt7 structure at the PBE level of DFT.

Values from the calculation:
Excess energy over the best structure of this formula in the dataset, eV/atom: 0.059

a = 4.966 Å, b = 4.966 Å, c = 9.415 Å
α = 84.63°, β = 84.63°, γ = 120.28°
Sites, in units of the cell vectors:
Ag1 0.985 0.985 0.999
Ag2 0.582 0.918 0.250
Ag3 0.750 0.750 0.750
Ag4 0.918 0.582 0.250
Ag5 0.515 0.515 0.501
Pt1 0.186 0.856 0.502
Pt2 0.314 0.644 0.998
Pt3 0.078 0.422 0.750
Pt4 0.644 0.314 0.998
Pt5 0.250 0.250 0.250
Pt6 0.856 0.186 0.502
Pt7 0.422 0.078 0.750

---

Record 9
Computed, not measured: a geometry-optimized AgPt7 structure at the PBE level of DFT.

a = 5.636 Å, b = 5.636 Å, c = 5.636 Å
α = 60.00°, β = 60.00°, γ = 60.00°
Sites, in units of the cell vectors:
Ag1 0.000 0.000 0.000
Pt1 0.000 0.500 0.500
Pt2 0.000 0.000 0.500
Pt3 0.000 0.500 0.000
Pt4 0.500 0.000 0.500
Pt5 0.500 0.500 0.000
Pt6 0.500 0.000 0.000
Pt7 0.500 0.500 0.500

---

Record 10
Computed, not measured: a geometry-optimized Ag7Pt6 structure at the PBE level of DFT.

a = 9.733 Å, b = 9.733 Å, c = 9.733 Å
α = 31.48°, β = 31.48°, γ = 31.48°
Sites, in units of the cell vectors:
Ag1 0.917 0.411 0.411
Ag2 0.411 0.411 0.917
Ag3 0.411 0.917 0.411
Ag4 0.083 0.589 0.589
Ag5 0.589 0.083 0.589
Ag6 0.589 0.589 0.083
Ag7 0.500 0.500 0.500
Pt1 0.954 0.954 0.954
Pt2 0.046 0.046 0.046
Pt3 0.849 0.849 0.849
Pt4 0.151 0.151 0.151
Pt5 0.666 0.666 0.666
Pt6 0.334 0.334 0.334

---

Record 11
Computed, not measured: a geometry-optimized Ag5Pt4 structure at the PBE level of DFT.

Values from the calculation:
Excess energy over the best structure of this formula in the dataset, eV/atom: 0.000

a = 4.974 Å, b = 4.974 Å, c = 11.883 Å
α = 69.57°, β = 69.57°, γ = 33.30°
Sites, in units of the cell vectors:
Ag1 0.994 0.994 0.008
Ag2 0.560 0.560 0.776
Ag3 0.117 0.117 0.553
Ag4 0.214 0.214 0.113
Ag5 0.781 0.781 0.882
Pt1 0.666 0.666 0.332
Pt2 0.339 0.339 0.658
Pt3 0.896 0.896 0.443
Pt4 0.433 0.433 0.234

---

Record 12
Computed, not measured: a geometry-optimized AgPt4 structure at the PBE level of DFT.

Values from the calculation:
Excess energy over the best structure of this formula in the dataset, eV/atom: 0.053

a = 10.489 Å, b = 2.788 Å, c = 2.788 Å
α = 90.00°, β = 82.36°, γ = 82.36°
Sites, in units of the cell vectors:
Ag1 0.000 0.000 0.000
Pt1 0.208 0.396 0.396
Pt2 0.403 0.799 0.799
Pt3 0.597 0.201 0.201
Pt4 0.792 0.604 0.604

---

The records above give, respectively, ΔH_f (0 K) values of 0.36; 0.06; 0.12; 0.12; 0.07; 0.29; 0.45; 0.59; 0.03; 3.98; 0.06; 0.03 eV/f.u..
The records above give, respectively, M_tot values of 0.00; 0.00; 0.00; 0.00; 0.00; 0.00; 0.00; 0.00; 0.00; 0.00; 0.00; 0.00 μB per formula unit.